(1)
Material: CsTl3Pd
Method: DFT, PBEsol
State: optimized geometry

POSCAR file:
```
CsTl3Pd
1.0
-3.5072 -3.0041 -2.7836
2.2213 -4.4742 2.0299
-3.4407 0.1736 4.1479
Tl Cs Pd
3 1 1
Cartesian
-1.7536 -1.5021 -1.3918
1.1107 -2.2371 1.0149
-1.7204 0.0868 2.0739
-2.3633 -3.6524 1.6971
0.0000 0.0000 0.0000
```

Properties
E_form   -0.06 eV/atom

=====

(2)
Material: YPb2
Method: DFT, PBEsol
State: optimized geometry

POSCAR file:
```
YPb2
1.0
-0.6931 4.4808 0.7890
-5.4957 -1.4322 3.3057
5.6929 -0.7303 9.1481
Y Pb
4 8
Cartesian
-0.2842 2.5673 5.3036
-4.5811 2.0500 4.4672
-0.2117 -0.2490 7.9391
4.0852 0.2684 8.7756
-2.0840 0.0150 4.7952
0.3872 0.7666 2.6977
-2.7678 1.8119 7.4120
2.2719 0.5064 5.8307
1.6296 -0.4797 10.8671
1.5881 2.3033 8.4476
-0.8831 1.5517 10.5451
-2.1255 2.7981 2.3757
```

Properties
E_form   -0.44 eV/atom

=====

(3)
Material: Li2CdGe
Method: DFT, PBEsol
State: optimized geometry

POSCAR file:
```
Li2CdGe
1.0
4.4822 0.0000 0.0000
2.2411 3.8817 0.0000
2.2411 1.2939 3.6597
Ge Li Cd
1 2 1
Cartesian
0.0000 0.0000 0.0000
6.7232 3.8817 2.7448
2.2411 1.2939 0.9149
4.4822 2.5878 1.8298
```

Properties
E_form   -0.27 eV/atom

=====

(4)
Material: CdSbMoI2
Method: DFT, PBEsol
State: optimized geometry

POSCAR file:
```
CdSbMoI2
1.0
5.5353 0.0000 0.0000
0.0000 5.6331 0.0000
0.0000 0.0000 5.6331
Mo Cd I Sb
1 1 2 1
Cartesian
2.7677 2.8166 2.8166
0.0000 0.0000 0.0000
0.0000 2.8166 0.0000
0.0000 0.0000 2.8166
2.7677 0.0000 0.0000
```

Properties
ΔE_f (raw)   1.24 eV per atom

=====

(5)
Material: LaNiGe
Method: DFT, PBEsol
State: optimized geometry

POSCAR file:
```
LaNiGe
1.0
4.1025 0.0000 0.0000
-2.0512 3.5528 0.0000
0.0000 0.0000 4.2113
La Ge Ni
1 1 1
Cartesian
0.0000 2.3686 0.0000
0.0000 0.0000 2.1057
2.0512 1.1843 2.1057
```

Properties
E_form   -0.72 eV/atom

=====

(6)
Material: YMn4Al8
Method: DFT, PBEsol
State: optimized geometry

POSCAR file:
```
YMn4Al8
1.0
-0.3754 -3.0295 -3.8156
5.8296 -0.8446 -3.0319
1.0325 -6.2997 1.7713
Mn Al Y
4 8 1
Cartesian
2.9148 -0.4223 -1.5159
0.3285 -4.6646 -1.0221
0.5162 -3.1499 0.8857
2.7271 -1.9371 -3.4237
1.8908 -6.6250 -1.1838
2.0935 -4.4332 -2.9440
4.3931 -5.7406 -2.1322
4.1932 -2.7055 -1.3934
2.6689 -4.4388 0.1328
1.3905 -2.4120 -1.3507
4.5959 -3.5489 -3.8923
5.0962 -7.7618 -3.7255
0.0000 0.0000 0.0000
```

Properties
E_form   -0.33 eV/atom

=====

(7)
Material: TcSbTe2Pb
Method: DFT, PBEsol
State: optimized geometry

POSCAR file:
```
TcSbTe2Pb
1.0
-1.1080 -4.8970 -0.3743
2.6881 -0.9470 4.4319
-4.3810 0.7755 2.8230
Tc Sb Pb Te
1 1 1 2
Cartesian
0.0000 0.0000 0.0000
-0.5540 -2.4485 -0.1872
-1.4005 -2.5342 3.4403
1.3440 -0.4735 2.2159
-2.1905 0.3877 1.4115
```

Properties
ΔE_f (raw)   0.40 eV per atom

=====

(8)
Material: YTl2Pt
Method: DFT, PBEsol
State: optimized geometry

POSCAR file:
```
YTl2Pt
1.0
-3.6589 -1.6323 2.3283
-0.3991 -4.5476 0.7959
1.0301 -1.5513 5.1426
Y Pt Tl
1 1 2
Cartesian
-1.5139 -3.8656 4.1334
0.0000 0.0000 0.0000
-2.1568 -5.7740 6.3965
-0.8710 -1.9571 1.8703
```

Properties
E_form   -0.35 eV/atom